Entry 1:
## La2NpP3Ir4 (PBE)

Data for an optimized crystal structure of La2NpP3Ir4.

Geometry as CIF:
```
data_La2NpP3Ir4
_chemical_formula_sum 'La2 Np1 P3 Ir4'
_space_group_name_H-M_alt 'P -4 m 2'
_space_group_IT_number 115
_cell_length_a 4.092
_cell_length_b 4.092
_cell_length_c 11.158
_cell_angle_alpha 90.00
_cell_angle_beta 90.00
_cell_angle_gamma 90.00
loop_
_space_group_symop_operation_xyz
'x,y,z'
'y,-x,-z'
'-x,-y,z'
'-y,x,-z'
'-x,y,z'
'-y,-x,-z'
'x,-y,z'
'y,x,-z'
loop_
_atom_site_label
_atom_site_fract_x
_atom_site_fract_y
_atom_site_fract_z
La1 0.000 0.500 0.231
Np1 0.000 0.000 0.500
P1 0.000 0.500 0.877
P2 0.500 0.500 0.500
Ir1 0.000 0.000 0.000
Ir2 0.000 0.500 0.665
Ir3 0.500 0.500 0.000
```

Computed properties:
M_tot = 4.0 μB per cell
crystal system = tetragonal
formation energy = -0.84 eV per atom
volume = 186.8 Å³/cell


Entry 2:
## La2AgMoH (PBE)

Data for an optimized crystal structure of La2AgMoH.

Geometry as CIF:
```
data_La2AgMoH
_chemical_formula_sum 'La2 Ag1 Mo1 H1'
_space_group_name_H-M_alt 'P 4/m m m'
_space_group_IT_number 123
_space_group_name_Hall '-P 4 2'
_cell_length_a 5.134
_cell_length_b 5.134
_cell_length_c 3.984
_cell_angle_alpha 90.00
_cell_angle_beta 90.00
_cell_angle_gamma 90.00
loop_
_atom_site_label
_atom_site_fract_x
_atom_site_fract_y
_atom_site_fract_z
La1 0.000 0.500 0.000
Ag1 0.000 0.000 0.500
Mo1 0.500 0.500 0.500
H1 0.000 0.000 0.000
```

Computed properties:
M_tot = 1.1 μB per cell
energy = -5.2268 eV per atom
crystal system = tetragonal
volume = 105.0 Å³/cell